No. 1
Here is a relaxed structure of AcNdCu2Se4 from the Alexandria database. Energies are from PBE. Values from VASP.

The structure in Quantum ESPRESSO input format:
```
&SYSTEM
  ibrav = 0, nat = 8, ntyp = 4
/
ATOMIC_SPECIES
Ac 227.00 Ac.upf
Nd 144.24 Nd.upf
Cu 63.55 Cu.upf
Se 78.96 Se.upf
CELL_PARAMETERS angstrom
-3.473 3.647 4.082
3.473 -3.647 4.082
3.473 3.647 -4.082
ATOMIC_POSITIONS angstrom
Ac 0.000 0.000 0.000
Nd 0.000 0.000 4.082
Cu 3.473 0.000 2.805
Cu 0.000 3.647 1.277
Se 1.703 2.100 -1.691
Se 1.770 -1.548 5.773
Se 1.770 1.548 2.391
Se 1.703 5.195 1.691
```

Summary:
Formation energy without anion corrections (eV/atom): -1.15
Spin magnetization (μB per formula unit): 0.00
E (eV per atom): -5.030
V (Å³ per cell): 206.8
Mass density (g/cm³): 6.5

=====

No. 2
Here is a relaxed structure of AcNd2CuSe5 from the Alexandria database. Energies are from PBE. Values from VASP.

The structure in Quantum ESPRESSO input format:
```
&SYSTEM
  ibrav = 0, nat = 18, ntyp = 4
/
ATOMIC_SPECIES
Ac 227.00 Ac.upf
Nd 144.24 Nd.upf
Cu 63.55 Cu.upf
Se 78.96 Se.upf
CELL_PARAMETERS angstrom
2.066 -10.034 0.000
2.066 10.034 0.000
0.000 0.000 11.749
ATOMIC_POSITIONS angstrom
Ac 2.066 6.010 5.875
Ac 2.066 -6.010 0.000
Nd 2.066 8.314 2.081
Nd 2.066 7.874 9.449
Nd 2.066 -7.874 3.574
Nd 2.066 -8.314 7.956
Cu 2.066 1.355 11.099
Cu 2.066 -1.355 5.224
Se 2.066 9.029 6.501
Se 2.066 3.963 2.301
Se 2.066 3.339 9.592
Se 2.066 2.741 5.863
Se 2.066 0.079 3.251
Se 2.066 -0.079 9.125
Se 2.066 -2.741 11.738
Se 2.066 -3.339 3.717
Se 2.066 -3.963 8.176
Se 2.066 -9.029 0.626
```

Summary:
Formation energy without anion corrections (eV/atom): -1.57
Spin magnetization (μB per formula unit): 0.00
E (eV per atom): -5.478
V (Å³ per cell): 487.1
Mass density (g/cm³): 6.6

=====

No. 3
Here is a relaxed structure of AcNdCu2Si2 from the Alexandria database. Energies are from PBE. Values from VASP.

The structure in Quantum ESPRESSO input format:
```
&SYSTEM
  ibrav = 0, nat = 6, ntyp = 4
/
ATOMIC_SPECIES
Ac 227.00 Ac.upf
Nd 144.24 Nd.upf
Cu 63.55 Cu.upf
Si 28.09 Si.upf
CELL_PARAMETERS angstrom
4.270 0.000 0.000
-2.135 3.698 0.000
0.000 0.000 8.291
ATOMIC_POSITIONS angstrom
Ac 0.000 0.000 0.000
Nd 0.000 0.000 4.145
Cu 0.000 2.465 6.058
Cu 2.135 1.233 2.233
Si 0.000 2.465 2.208
Si 2.135 1.233 6.083
```

Summary:
Formation energy without anion corrections (eV/atom): -0.57
Spin magnetization (μB per formula unit): 0.00
E (eV per atom): -5.226
V (Å³ per cell): 130.9
Mass density (g/cm³): 7.0